## LiTh2Ga2 (PBE)

Data for crystalline LiTh2Ga2 at its relaxed geometry.

The structure belongs to space group C2/m (No. 12); the cell edges are 10.9833, 4.5213 and 10.7003 Å and the angles 90.00°, 117.99° and 90.00°. The distinct sites, in fractional coordinates, are Li at (0.2283, 0.0000, 0.3652), Th at (0.0098, 0.5000, 0.3269), Th at (0.1860, 0.5000, 0.0908), Ga at (0.0056, 0.0000, 0.8776) and Ga at (0.1371, 0.0000, 0.5726).

For the magnetic moment, the calculation gives 0.0 μB per formula unit. Its crystal system is monoclinic. The volume is 469.2 Å³/cell. As for the formation energy: -0.38 eV per atom. The calculation puts the density of states at the Fermi level at 3.8 states/eV/f.u.